Entry 1:
VASP calculation (GGA-PBE) on a relaxed Tb5NdIn8 crystal.

extended XYZ file:
```
14
Lattice="-6.581 -4.431 1.119 5.346 -1.545 5.764 -2.071 7.737 0.199" Properties=species:S:1:pos:R:3 pbc="T T T"
Tb 1.570 0.297 2.136
Tb -1.489 -3.409 6.201
Tb -2.941 0.725 4.651
Tb -4.326 1.653 0.659
Tb -3.752 5.910 1.176
Nd -0.526 3.922 3.311
In 3.049 -1.267 4.429
In -7.282 1.029 1.585
In -4.491 -1.051 2.456
In -3.818 3.487 3.296
In -0.505 -1.337 3.941
In -0.914 2.601 6.242
In -1.466 1.159 1.909
In 2.202 2.424 4.471
```

* energy of formation: -353.6 meV/atom
* total DFT energy (no corrections): -0.288 Ry per atom
* density of states at the Fermi level: 0.84 states/eV/atom
* space-group type: No. 82

Entry 2:
VASP calculation (GGA-PBE) on a relaxed BaZnSn2Rh crystal.

extended XYZ file:
```
5
Lattice="-3.512 -1.028 3.693 3.811 -0.393 3.514 -0.400 4.887 0.980" Properties=species:S:1:pos:R:3 pbc="T T T"
Zn -0.200 2.443 0.490
Rh 0.000 0.000 0.000
Ba -0.050 1.733 4.094
Sn 1.906 -0.196 1.757
Sn -1.756 -0.514 1.847
```

* energy of formation: -355.2 meV/atom
* total DFT energy (no corrections): -0.299 Ry per atom
* density of states at the Fermi level: 0.72 states/eV/atom
* space-group type: No. 123

Entry 3:
VASP calculation (GGA-PBE) on a relaxed Tl2RhCl5 crystal.

extended XYZ file:
```
8
Lattice="4.752 0.294 -1.238 -3.515 6.532 -2.167 1.895 -0.713 7.111" Properties=species:S:1:pos:R:3 pbc="T T T"
Tl 0.136 4.557 0.658
Tl 3.535 1.941 3.314
Rh 0.255 0.190 0.075
Cl 1.969 5.184 -1.938
Cl 0.629 1.663 1.864
Cl 3.017 4.787 1.995
Cl 1.678 1.341 5.819
Cl 4.463 -0.444 6.309
```

* formation energy from raw total energies: -589 kJ/mol of formula units
* total DFT energy (no corrections): -0.252 Ry per atom
* ΔE to the lowest computed polymorph: 0.0000 eV/atom
* density of states at the Fermi level: 0.84 states/eV/atom
* space-group type: No. 8

Question: Which of these has the lowest total DFT energy (no corrections)?
Answer: BaZnSn2Rh

Question: density of states at the Fermi level of number 2 (BaZnSn2Rh)?
Answer: 0.72 states/eV/atom

Question: Among the records above, which one has the highest total DFT energy (no corrections)?
Answer: Tl2RhCl5